Compound: Sb2SeIBr
Source: Alexandria
Functional: GGA-PBE
Structure: optimized geometry

```
data_Sb2SeIBr
_cell_length_a 5.676
_cell_length_b 5.676
_cell_length_c 5.581
_cell_angle_alpha 90.00
_cell_angle_beta 90.00
_cell_angle_gamma 90.00
_symmetry_space_group_name_H-M 'P 1'
_symmetry_Int_Tables_number 1
_symmetry_space_group_name_Hall 'P 1'
loop_
_atom_site_label
_atom_site_type_symbol
_atom_site_fract_x
_atom_site_fract_y
_atom_site_fract_z
_atom_site_occupancy
Sb1 Sb 0.000 0.500 0.000 1
Sb2 Sb 0.500 0.000 0.000 1
Se1 Se 0.000 0.000 0.500 1
I1 I 0.500 0.500 0.500 1
Br1 Br 0.500 0.500 0.000 1
```

Values from the calculation:
**Total energy**: -1.9994 eV/atom
**Energy relative to the lowest polymorph listed for this composition**: 2.38 eV per formula unit

Compound: SbSe2IBr
Source: Alexandria
Functional: GGA-PBE
Structure: optimized geometry

```
data_SbSe2IBr
_cell_length_a 5.459
_cell_length_b 5.459
_cell_length_c 5.455
_cell_angle_alpha 90.00
_cell_angle_beta 90.00
_cell_angle_gamma 90.00
_symmetry_space_group_name_H-M 'P 1'
_symmetry_Int_Tables_number 1
_symmetry_space_group_name_Hall 'P 1'
loop_
_atom_site_label
_atom_site_type_symbol
_atom_site_fract_x
_atom_site_fract_y
_atom_site_fract_z
_atom_site_occupancy
Sb1 Sb 0.000 0.000 0.000 1
Se1 Se 0.000 0.500 0.000 1
Se2 Se 0.500 0.000 0.000 1
I1 I 0.500 0.500 0.500 1
Br1 Br 0.000 0.000 0.500 1
```

Values from the calculation:
**Total energy**: -2.5536 eV/atom
**Energy relative to the lowest polymorph listed for this composition**: 0.00 eV per formula unit

Compound: SiSbI2Br
Source: Alexandria
Functional: GGA-PBE
Structure: optimized geometry

```
data_SiSbI2Br
_cell_length_a 5.692
_cell_length_b 5.692
_cell_length_c 5.862
_cell_angle_alpha 90.00
_cell_angle_beta 90.00
_cell_angle_gamma 90.00
_symmetry_space_group_name_H-M 'P 1'
_symmetry_Int_Tables_number 1
_symmetry_space_group_name_Hall 'P 1'
loop_
_atom_site_label
_atom_site_type_symbol
_atom_site_fract_x
_atom_site_fract_y
_atom_site_fract_z
_atom_site_occupancy
Si1 Si 0.000 0.000 0.000 1
Sb1 Sb 0.500 0.500 0.000 1
I1 I 0.000 0.500 0.500 1
I2 I 0.500 0.000 0.500 1
Br1 Br 0.500 0.500 0.500 1
```

Values from the calculation:
**Total energy**: -1.8023 eV/atom
**Energy relative to the lowest polymorph listed for this composition**: 3.66 eV per formula unit

Compound: SiSbI2Br
Source: Alexandria
Functional: GGA-PBE
Structure: optimized geometry

```
data_SiSbI2Br
_cell_length_a 5.407
_cell_length_b 5.407
_cell_length_c 5.598
_cell_angle_alpha 90.00
_cell_angle_beta 90.00
_cell_angle_gamma 90.00
_symmetry_space_group_name_H-M 'P 1'
_symmetry_Int_Tables_number 1
_symmetry_space_group_name_Hall 'P 1'
loop_
_atom_site_label
_atom_site_type_symbol
_atom_site_fract_x
_atom_site_fract_y
_atom_site_fract_z
_atom_site_occupancy
Si1 Si 0.000 0.000 0.000 1
Sb1 Sb 0.000 0.000 0.500 1
I1 I 0.000 0.500 0.000 1
I2 I 0.500 0.000 0.000 1
Br1 Br 0.500 0.500 0.500 1
```

Values from the calculation:
**Total energy**: -2.5338 eV/atom
**Energy relative to the lowest polymorph listed for this composition**: 0.00 eV per formula unit

Compound: SiSb2IBr
Source: Alexandria
Functional: GGA-PBE
Structure: optimized geometry

```
data_SiSb2IBr
_cell_length_a 5.349
_cell_length_b 5.349
_cell_length_c 5.448
_cell_angle_alpha 90.00
_cell_angle_beta 90.00
_cell_angle_gamma 90.00
_symmetry_space_group_name_H-M 'P 1'
_symmetry_Int_Tables_number 1
_symmetry_space_group_name_Hall 'P 1'
loop_
_atom_site_label
_atom_site_type_symbol
_atom_site_fract_x
_atom_site_fract_y
_atom_site_fract_z
_atom_site_occupancy
Si1 Si 0.000 0.000 0.000 1
Sb1 Sb 0.000 0.500 0.000 1
Sb2 Sb 0.500 0.000 0.000 1
I1 I 0.000 0.000 0.500 1
Br1 Br 0.500 0.500 0.500 1
```

Values from the calculation:
**Total energy**: -2.9066 eV/atom
**Energy relative to the lowest polymorph listed for this composition**: 0.00 eV per formula unit

Compound: SiSb2IBr
Source: Alexandria
Functional: GGA-PBE
Structure: optimized geometry

```
data_SiSb2IBr
_cell_length_a 5.618
_cell_length_b 5.618
_cell_length_c 5.590
_cell_angle_alpha 90.00
_cell_angle_beta 90.00
_cell_angle_gamma 90.00
_symmetry_space_group_name_H-M 'P 1'
_symmetry_Int_Tables_number 1
_symmetry_space_group_name_Hall 'P 1'
loop_
_atom_site_label
_atom_site_type_symbol
_atom_site_fract_x
_atom_site_fract_y
_atom_site_fract_z
_atom_site_occupancy
Si1 Si 0.000 0.000 0.000 1
Sb1 Sb 0.000 0.500 0.500 1
Sb2 Sb 0.500 0.000 0.500 1
I1 I 0.500 0.500 0.000 1
Br1 Br 0.500 0.500 0.500 1
```

Values from the calculation:
**Total energy**: -2.1636 eV/atom
**Energy relative to the lowest polymorph listed for this composition**: 3.72 eV per formula unit

Compound: SnSbI2Br
Source: Alexandria
Functional: GGA-PBE
Structure: optimized geometry

```
data_SnSbI2Br
_cell_length_a 5.702
_cell_length_b 5.702
_cell_length_c 5.930
_cell_angle_alpha 90.00
_cell_angle_beta 90.00
_cell_angle_gamma 90.00
_symmetry_space_group_name_H-M 'P 1'
_symmetry_Int_Tables_number 1
_symmetry_space_group_name_Hall 'P 1'
loop_
_atom_site_label
_atom_site_type_symbol
_atom_site_fract_x
_atom_site_fract_y
_atom_site_fract_z
_atom_site_occupancy
Sn1 Sn 0.000 0.000 0.000 1
Sb1 Sb 0.500 0.500 0.000 1
I1 I 0.000 0.500 0.500 1
I2 I 0.500 0.000 0.500 1
Br1 Br 0.500 0.500 0.500 1
```

Values from the calculation:
**Total energy**: -1.9914 eV/atom
**Energy relative to the lowest polymorph listed for this composition**: 1.68 eV per formula unit

Compound: SnSbI2Br
Source: Alexandria
Functional: GGA-PBE
Structure: optimized geometry

```
data_SnSbI2Br
_cell_length_a 5.824
_cell_length_b 5.824
_cell_length_c 6.124
_cell_angle_alpha 90.00
_cell_angle_beta 90.00
_cell_angle_gamma 90.00
_symmetry_space_group_name_H-M 'P 1'
_symmetry_Int_Tables_number 1
_symmetry_space_group_name_Hall 'P 1'
loop_
_atom_site_label
_atom_site_type_symbol
_atom_site_fract_x
_atom_site_fract_y
_atom_site_fract_z
_atom_site_occupancy
Sn1 Sn 0.000 0.000 0.000 1
Sb1 Sb 0.000 0.000 0.500 1
I1 I 0.000 0.500 0.000 1
I2 I 0.500 0.000 0.000 1
Br1 Br 0.500 0.500 0.500 1
```

Values from the calculation:
**Total energy**: -2.3280 eV/atom
**Energy relative to the lowest polymorph listed for this composition**: 0.00 eV per formula unit

Compound: SrSbI2Br
Source: Alexandria
Functional: GGA-PBE
Structure: optimized geometry

```
data_SrSbI2Br
_cell_length_a 6.145
_cell_length_b 6.145
_cell_length_c 7.164
_cell_angle_alpha 90.00
_cell_angle_beta 90.00
_cell_angle_gamma 90.00
_symmetry_space_group_name_H-M 'P 1'
_symmetry_Int_Tables_number 1
_symmetry_space_group_name_Hall 'P 1'
loop_
_atom_site_label
_atom_site_type_symbol
_atom_site_fract_x
_atom_site_fract_y
_atom_site_fract_z
_atom_site_occupancy
Sr1 Sr 0.000 0.000 0.000 1
Sb1 Sb 0.000 0.000 0.500 1
I1 I 0.000 0.500 0.000 1
I2 I 0.500 0.000 0.000 1
Br1 Br 0.500 0.500 0.500 1
```

Values from the calculation:
**Total energy**: -2.3030 eV/atom
**Energy relative to the lowest polymorph listed for this composition**: 0.00 eV per formula unit

Compound: Sr4Sb2IBr
Source: Alexandria
Functional: GGA-PBE
Structure: optimized geometry

```
data_Sr4Sb2IBr
_cell_length_a 8.117
_cell_length_b 8.117
_cell_length_c 8.117
_cell_angle_alpha 130.67
_cell_angle_beta 130.67
_cell_angle_gamma 72.33
_symmetry_space_group_name_H-M 'P 1'
_symmetry_Int_Tables_number 1
_symmetry_space_group_name_Hall 'P 1'
loop_
_atom_site_label
_atom_site_type_symbol
_atom_site_fract_x
_atom_site_fract_y
_atom_site_fract_z
_atom_site_occupancy
Sr1 Sr 0.000 0.500 0.500 1
Sr2 Sr 0.243 0.243 0.000 1
Sr3 Sr 0.500 0.000 0.500 1
Sr4 Sr 0.757 0.757 0.000 1
Sb1 Sb 0.250 0.750 0.500 1
Sb2 Sb 0.750 0.250 0.500 1
I1 I 0.500 0.500 0.000 1
Br1 Br 0.000 0.000 0.000 1
```

Values from the calculation:
**Total energy**: -3.6132 eV/atom

Compound: SrSbI2Br
Source: Alexandria
Functional: GGA-PBE
Structure: optimized geometry

```
data_SrSbI2Br
_cell_length_a 5.754
_cell_length_b 5.754
_cell_length_c 5.967
_cell_angle_alpha 90.00
_cell_angle_beta 90.00
_cell_angle_gamma 90.00
_symmetry_space_group_name_H-M 'P 1'
_symmetry_Int_Tables_number 1
_symmetry_space_group_name_Hall 'P 1'
loop_
_atom_site_label
_atom_site_type_symbol
_atom_site_fract_x
_atom_site_fract_y
_atom_site_fract_z
_atom_site_occupancy
Sr1 Sr 0.000 0.000 0.000 1
Sb1 Sb 0.500 0.500 0.000 1
I1 I 0.000 0.500 0.500 1
I2 I 0.500 0.000 0.500 1
Br1 Br 0.500 0.500 0.500 1
```

Values from the calculation:
**Total energy**: -2.2058 eV/atom
**Energy relative to the lowest polymorph listed for this composition**: 0.49 eV per formula unit

Compound: SrSb2IBr
Source: Alexandria
Functional: GGA-PBE
Structure: optimized geometry

```
data_SrSb2IBr
_cell_length_a 6.364
_cell_length_b 6.364
_cell_length_c 6.086
_cell_angle_alpha 90.00
_cell_angle_beta 90.00
_cell_angle_gamma 90.00
_symmetry_space_group_name_H-M 'P 1'
_symmetry_Int_Tables_number 1
_symmetry_space_group_name_Hall 'P 1'
loop_
_atom_site_label
_atom_site_type_symbol
_atom_site_fract_x
_atom_site_fract_y
_atom_site_fract_z
_atom_site_occupancy
Sr1 Sr 0.000 0.000 0.000 1
Sb1 Sb 0.000 0.500 0.000 1
Sb2 Sb 0.500 0.000 0.000 1
I1 I 0.000 0.000 0.500 1
Br1 Br 0.500 0.500 0.500 1
```

Values from the calculation:
**Total energy**: -2.3245 eV/atom
**Energy relative to the lowest polymorph listed for this composition**: 1.57 eV per formula unit

Compound: SrSb2IBr
Source: Alexandria
Functional: GGA-PBE
Structure: optimized geometry

```
data_SrSb2IBr
_cell_length_a 5.380
_cell_length_b 5.380
_cell_length_c 7.020
_cell_angle_alpha 90.00
_cell_angle_beta 90.00
_cell_angle_gamma 90.00
_symmetry_space_group_name_H-M 'P 1'
_symmetry_Int_Tables_number 1
_symmetry_space_group_name_Hall 'P 1'
loop_
_atom_site_label
_atom_site_type_symbol
_atom_site_fract_x
_atom_site_fract_y
_atom_site_fract_z
_atom_site_occupancy
Sr1 Sr 0.000 0.000 0.000 1
Sb1 Sb 0.000 0.500 0.500 1
Sb2 Sb 0.500 0.000 0.500 1
I1 I 0.500 0.500 0.000 1
Br1 Br 0.500 0.500 0.500 1
```

Values from the calculation:
**Total energy**: -2.6393 eV/atom
**Energy relative to the lowest polymorph listed for this composition**: 0.00 eV per formula unit

Compound: TaSb2IBr
Source: Alexandria
Functional: GGA-PBE
Structure: optimized geometry

```
data_TaSb2IBr
_cell_length_a 5.408
_cell_length_b 5.408
_cell_length_c 5.445
_cell_angle_alpha 90.00
_cell_angle_beta 90.00
_cell_angle_gamma 90.00
_symmetry_space_group_name_H-M 'P 1'
_symmetry_Int_Tables_number 1
_symmetry_space_group_name_Hall 'P 1'
loop_
_atom_site_label
_atom_site_type_symbol
_atom_site_fract_x
_atom_site_fract_y
_atom_site_fract_z
_atom_site_occupancy
Ta1 Ta 0.000 0.000 0.000 1
Sb1 Sb 0.000 0.500 0.000 1
Sb2 Sb 0.500 0.000 0.000 1
I1 I 0.000 0.000 0.500 1
Br1 Br 0.500 0.500 0.500 1
```

Values from the calculation:
**Total energy**: -4.4273 eV/atom
**Energy relative to the lowest polymorph listed for this composition**: 0.00 eV per formula unit

Compound: TaSb2IBr
Source: Alexandria
Functional: GGA-PBE
Structure: optimized geometry

```
data_TaSb2IBr
_cell_length_a 5.451
_cell_length_b 5.451
_cell_length_c 5.457
_cell_angle_alpha 90.00
_cell_angle_beta 90.00
_cell_angle_gamma 90.00
_symmetry_space_group_name_H-M 'P 1'
_symmetry_Int_Tables_number 1
_symmetry_space_group_name_Hall 'P 1'
loop_
_atom_site_label
_atom_site_type_symbol
_atom_site_fract_x
_atom_site_fract_y
_atom_site_fract_z
_atom_site_occupancy
Ta1 Ta 0.000 0.000 0.000 1
Sb1 Sb 0.000 0.500 0.500 1
Sb2 Sb 0.500 0.000 0.500 1
I1 I 0.500 0.500 0.000 1
Br1 Br 0.500 0.500 0.500 1
```

Values from the calculation:
**Total energy**: -3.0481 eV/atom
**Energy relative to the lowest polymorph listed for this composition**: 6.90 eV per formula unit

Compound: SbTeI2Br
Source: Alexandria
Functional: GGA-PBE
Structure: optimized geometry

```
data_SbTeI2Br
_cell_length_a 5.844
_cell_length_b 5.844
_cell_length_c 6.251
_cell_angle_alpha 90.00
_cell_angle_beta 90.00
_cell_angle_gamma 90.00
_symmetry_space_group_name_H-M 'P 1'
_symmetry_Int_Tables_number 1
_symmetry_space_group_name_Hall 'P 1'
loop_
_atom_site_label
_atom_site_type_symbol
_atom_site_fract_x
_atom_site_fract_y
_atom_site_fract_z
_atom_site_occupancy
Sb1 Sb 0.000 0.000 0.000 1
Te1 Te 0.000 0.000 0.500 1
I1 I 0.000 0.500 0.500 1
I2 I 0.500 0.000 0.500 1
Br1 Br 0.500 0.500 0.000 1
```

Values from the calculation:
**Total energy**: -2.0472 eV/atom
**Energy relative to the lowest polymorph listed for this composition**: 0.58 eV per formula unit

Compound: SbTeI2Br
Source: Alexandria
Functional: GGA-PBE
Structure: optimized geometry

```
data_SbTeI2Br
_cell_length_a 5.912
_cell_length_b 5.912
_cell_length_c 6.057
_cell_angle_alpha 90.00
_cell_angle_beta 90.00
_cell_angle_gamma 90.00
_symmetry_space_group_name_H-M 'P 1'
_symmetry_Int_Tables_number 1
_symmetry_space_group_name_Hall 'P 1'
loop_
_atom_site_label
_atom_site_type_symbol
_atom_site_fract_x
_atom_site_fract_y
_atom_site_fract_z
_atom_site_occupancy
Sb1 Sb 0.000 0.000 0.000 1
Te1 Te 0.000 0.000 0.500 1
I1 I 0.000 0.500 0.000 1
I2 I 0.500 0.000 0.000 1
Br1 Br 0.500 0.500 0.500 1
```

Values from the calculation:
**Total energy**: -2.1633 eV/atom
**Energy relative to the lowest polymorph listed for this composition**: 0.00 eV per formula unit

Compound: SbTeI2Br
Source: Alexandria
Functional: GGA-PBE
Structure: optimized geometry

```
data_SbTeI2Br
_cell_length_a 5.747
_cell_length_b 5.747
_cell_length_c 5.963
_cell_angle_alpha 90.00
_cell_angle_beta 90.00
_cell_angle_gamma 90.00
_symmetry_space_group_name_H-M 'P 1'
_symmetry_Int_Tables_number 1
_symmetry_space_group_name_Hall 'P 1'
loop_
_atom_site_label
_atom_site_type_symbol
_atom_site_fract_x
_atom_site_fract_y
_atom_site_fract_z
_atom_site_occupancy
Sb1 Sb 0.000 0.000 0.000 1
Te1 Te 0.500 0.500 0.000 1
I1 I 0.000 0.500 0.500 1
I2 I 0.500 0.000 0.500 1
Br1 Br 0.000 0.000 0.500 1
```

Values from the calculation:
**Total energy**: -1.6889 eV/atom
**Energy relative to the lowest polymorph listed for this composition**: 2.37 eV per formula unit

Compound: SbTe2IBr
Source: Alexandria
Functional: GGA-PBE
Structure: optimized geometry

```
data_SbTe2IBr
_cell_length_a 5.648
_cell_length_b 5.648
_cell_length_c 5.764
_cell_angle_alpha 90.00
_cell_angle_beta 90.00
_cell_angle_gamma 90.00
_symmetry_space_group_name_H-M 'P 1'
_symmetry_Int_Tables_number 1
_symmetry_space_group_name_Hall 'P 1'
loop_
_atom_site_label
_atom_site_type_symbol
_atom_site_fract_x
_atom_site_fract_y
_atom_site_fract_z
_atom_site_occupancy
Sb1 Sb 0.000 0.000 0.000 1
Te1 Te 0.000 0.500 0.500 1
Te2 Te 0.500 0.000 0.500 1
I1 I 0.500 0.500 0.000 1
Br1 Br 0.000 0.000 0.500 1
```

Values from the calculation:
**Total energy**: -1.8865 eV/atom
**Energy relative to the lowest polymorph listed for this composition**: 2.11 eV per formula unit

Compound: SbTe2IBr
Source: Alexandria
Functional: GGA-PBE
Structure: optimized geometry

```
data_SbTe2IBr
_cell_length_a 5.784
_cell_length_b 5.784
_cell_length_c 6.049
_cell_angle_alpha 90.00
_cell_angle_beta 90.00
_cell_angle_gamma 90.00
_symmetry_space_group_name_H-M 'P 1'
_symmetry_Int_Tables_number 1
_symmetry_space_group_name_Hall 'P 1'
loop_
_atom_site_label
_atom_site_type_symbol
_atom_site_fract_x
_atom_site_fract_y
_atom_site_fract_z
_atom_site_occupancy
Sb1 Sb 0.000 0.000 0.000 1
Te1 Te 0.000 0.500 0.500 1
Te2 Te 0.500 0.000 0.500 1
I1 I 0.000 0.000 0.500 1
Br1 Br 0.500 0.500 0.000 1
```

Values from the calculation:
**Total energy**: -1.8404 eV/atom
**Energy relative to the lowest polymorph listed for this composition**: 2.34 eV per formula unit